Record 1
# RbErTm2

A relaxed RbErTm2 crystal (PBE, Alexandria via LeMat-Bulk).

Unit cell a=3.562 b=3.562 c=13.179 alpha=82.23 beta=82.23 gamma=60.00
Atoms (fractional coordinates):
Tm1 0.096 0.096 0.712
Tm2 0.904 0.904 0.288
Rb1 0.000 0.000 0.000
Er1 0.500 0.500 0.500

Electronic total energy, eV/atom: -3.29
Formation energy, meV per atom: 326
SG: R-3m (166)

Record 2
# Ho6SbTe5

A relaxed Ho6SbTe5 crystal (PBE, Alexandria via LeMat-Bulk).

Unit cell a=7.544 b=7.502 c=7.507 alpha=60.02 beta=80.47 gamma=70.64
Atoms (fractional coordinates):
Ho1 0.756 0.081 0.326
Ho2 0.244 0.593 0.326
Ho3 0.248 0.242 0.000
Ho4 0.752 0.758 0.000
Ho5 0.756 0.407 0.674
Ho6 0.244 0.919 0.674
Sb1 0.000 0.000 0.000
Te1 0.500 0.170 0.660
Te2 0.000 0.334 0.332
Te3 0.500 0.500 0.000
Te4 0.000 0.666 0.668
Te5 0.500 0.830 0.340

Electronic total energy, eV/atom: -5.19
Uncorrected formation energy, meV/atom: -1246
SG: C2/m (12)

Record 3
# ZrC3Cl

A relaxed ZrC3Cl crystal (PBE, Alexandria via LeMat-Bulk).

Unit cell a=4.466 b=4.466 c=4.466 alpha=90.00 beta=90.00 gamma=90.00
Atoms (fractional coordinates):
C1 0.000 0.500 0.000
C2 0.000 0.000 0.500
C3 0.500 0.000 0.000
Zr1 0.000 0.000 0.000
Cl1 0.500 0.500 0.500

Electronic total energy, eV/atom: -5.11
Uncorrected formation energy, meV/atom: 2506
Energy relative to the lowest polymorph listed for this composition, meV/atom: 48
SG: Pm-3m (221)